This record from the Alexandria database describes crystalline Sc2BiB at its relaxed geometry. The functional is PBE.

For the formation energy from the elements, the calculation gives 269 meV per atom. For the total magnetic moment, the calculation gives 0.01 μB per cell. As for the energy above the lowest structure with this stoichiometry: 424 meV/atom.

It has space group Fm-3m (No. 225), with a = 6.8482 Å, b = 6.8482 Å, c = 6.8482 Å, α = 90.00°, β = 90.00° and γ = 90.00°. The distinct sites, in fractional coordinates, are Sc at (0.2500, 0.2500, 0.2500), Bi at (0.0000, 0.0000, 0.0000) and B at (0.0000, 0.0000, 0.5000).

***

This record from the Alexandria database describes crystalline Sc6Bi2B at its relaxed geometry. The functional is PBE.

For the formation energy from the elements, the calculation gives -443 meV per atom. For the total magnetic moment, the calculation gives 0.00 μB per cell. As for the energy above the lowest structure with this stoichiometry: 0 meV/atom.

It has space group I4/mmm (No. 139), with a = 6.5530 Å, b = 6.5530 Å, c = 9.2854 Å, α = 90.00°, β = 90.00° and γ = 90.00°. The distinct sites, in fractional coordinates, are Sc at (0.0000, 0.0000, 0.2482), Sc at (0.2490, 0.2490, 0.0000), Bi at (0.0000, 0.5000, 0.2500) and B at (0.0000, 0.0000, 0.0000).

***

This record from the Alexandria database describes crystalline Sc2BiB at its relaxed geometry. The functional is PBE.

For the formation energy from the elements, the calculation gives -83 meV per atom. For the total magnetic moment, the calculation gives 0.00 μB per cell. As for the energy above the lowest structure with this stoichiometry: 72 meV/atom.

It has space group I-42d (No. 122), with a = 7.2737 Å, b = 7.2737 Å, c = 6.3046 Å, α = 90.00°, β = 90.00° and γ = 90.00°. The distinct sites, in fractional coordinates, are Sc at (0.1747, 0.2500, 0.1250), Bi at (0.0000, 0.0000, 0.5000) and B at (0.0000, 0.0000, 0.0000).

***

This record from the Alexandria database describes crystalline Sc6Bi2B at its relaxed geometry. The functional is PBE.

For the formation energy from the elements, the calculation gives -137 meV per atom. For the total magnetic moment, the calculation gives 2.64 μB per cell. As for the energy above the lowest structure with this stoichiometry: 306 meV/atom.

It has space group P4_2/mnm (No. 136), with a = 6.2177 Å, b = 6.2177 Å, c = 12.8202 Å, α = 90.00°, β = 90.00° and γ = 90.00°. The distinct sites, in fractional coordinates, are Sc at (0.1862, 0.1862, 0.1246), Sc at (0.2246, 0.2246, 0.5000), Bi at (0.0000, 0.0000, 0.3186) and B at (0.0000, 0.0000, 0.0000).

***

This record from the Alexandria database describes crystalline Sc4Bi2B at its relaxed geometry. The functional is PBE.

For the formation energy from the elements, the calculation gives -621 meV per atom. For the total magnetic moment, the calculation gives 0.00 μB per cell.

It has space group I4/mmm (No. 139), with a = 4.6221 Å, b = 4.6221 Å, c = 15.1800 Å, α = 90.00°, β = 90.00° and γ = 90.00°. The distinct sites, in fractional coordinates, are Sc at (0.0000, 0.0000, 0.1535), Sc at (0.0000, 0.5000, 0.0000), Bi at (0.0000, 0.0000, 0.3549) and B at (0.0000, 0.0000, 0.0000).

***

This record from the Alexandria database describes crystalline Sc2BiBSe at its relaxed geometry. The functional is PBE.

The energy is -4.592 eV per atom. For the total magnetic moment, the calculation gives 0.84 μB per cell.

It has space group P4/mmm (No. 123), with a = 5.5518 Å, b = 5.5518 Å, c = 4.3805 Å, α = 90.00°, β = 90.00° and γ = 90.00°. The distinct sites, in fractional coordinates, are Sc at (0.0000, 0.5000, 0.0000), Bi at (0.0000, 0.0000, 0.0000), B at (0.0000, 0.0000, 0.5000) and Se at (0.5000, 0.5000, 0.5000).

***

This record from the Alexandria database describes crystalline ScSn2BiB at its relaxed geometry. The functional is PBE.

For the formation energy from the elements, the calculation gives 1570 meV per atom. For the total magnetic moment, the calculation gives 0.00 μB per cell.

It has space group P4/mmm (No. 123), with a = 5.8409 Å, b = 5.8409 Å, c = 5.4848 Å, α = 90.00°, β = 90.00° and γ = 90.00°. The distinct sites, in fractional coordinates, are Sc at (0.0000, 0.0000, 0.0000), Sn at (0.0000, 0.5000, 0.5000), Bi at (0.0000, 0.0000, 0.5000) and B at (0.5000, 0.5000, 0.0000).

***

This record from the Alexandria database describes crystalline SrSc2BiB at its relaxed geometry. The functional is PBE.

For the formation energy from the elements, the calculation gives -295 meV per atom. For the total magnetic moment, the calculation gives 0.00 μB per cell.

It has space group P4/mmm (No. 123), with a = 4.7934 Å, b = 4.7934 Å, c = 5.3996 Å, α = 90.00°, β = 90.00° and γ = 90.00°. The distinct sites, in fractional coordinates, are Sr at (0.0000, 0.0000, 0.0000), Sc at (0.0000, 0.5000, 0.5000), Bi at (0.5000, 0.5000, 0.0000) and B at (0.0000, 0.0000, 0.5000).

***

> Look up the total magnetic moment of the second one.

0.00 μB per cell

***

> What is the formula in the eighth record?

SrSc2BiB